A plane-wave DFT calculation with PBE was carried out for a geometry-optimized SrZn2SiIr2 structure.

Cell: 4.489 4.489 5.948 Å, 90.00 90.00 90.00°
Fractional positions:
Sr 0.000 0.000 0.500
Zn 0.500 0.500 0.726
Zn 0.500 0.500 0.274
Si 0.000 0.000 0.000
Ir 0.500 0.000 0.000
Ir 0.000 0.500 0.000

Output
DOS(E_F): 5.05 states/eV per cell
Electronic total energy: -28.7 eV per cell
Raw formation energy: -224 meV/atom
Space-group type: No. 123